# 1
The following is a PBE-GGA calculation of a relaxed structure of ZrFeW, from OQMD.

Computed properties:
The calculation puts the formation energy at 0.52 eV per atom. Its crystal system is hexagonal. Its total energy is -9.41 eV per atom. The symmetry is P-62m.

CIF file:
```
data_ZrFeW
_chemical_formula_sum 'Zr3 Fe3 W3'
_cell_length_a 8.091
_cell_length_b 8.091
_cell_length_c 2.671
_cell_angle_alpha 90.00
_cell_angle_beta 90.00
_cell_angle_gamma 120.00
_space_group_name_H-M_alt 'P 1'
_space_group_IT_number 1
loop_
_space_group_symop_operation_xyz
'x,y,z'
loop_
_atom_site_label
_atom_site_fract_x
_atom_site_fract_y
_atom_site_fract_z
_atom_site_occupancy
W1 0.000 0.000 0.500 1
W2 0.667 0.333 0.000 1
W3 0.333 0.667 0.000 1
Fe1 0.639 0.000 0.500 1
Fe2 0.361 0.361 0.500 1
Fe3 0.000 0.639 0.500 1
Zr1 0.311 0.000 0.000 1
Zr2 0.689 0.689 0.000 1
Zr3 0.000 0.311 0.000 1
```



# 2
The following is a PBE-GGA calculation of a relaxed structure of Y2Fe, from OQMD.

Computed properties:
The calculation puts the formation energy at 1.16 eV per atom. Its crystal system is cubic. Its total energy is -5.92 eV per atom. The symmetry is Fd-3m.

CIF file:
```
data_Y2Fe
_chemical_formula_sum 'Y4 Fe2'
_cell_length_a 7.779
_cell_length_b 7.779
_cell_length_c 7.779
_cell_angle_alpha 60.00
_cell_angle_beta 60.00
_cell_angle_gamma 60.00
_space_group_name_H-M_alt 'P 1'
_space_group_IT_number 1
loop_
_space_group_symop_operation_xyz
'x,y,z'
loop_
_atom_site_label
_atom_site_fract_x
_atom_site_fract_y
_atom_site_fract_z
_atom_site_occupancy
Y1 0.375 0.875 0.375 1
Y2 0.875 0.375 0.375 1
Y3 0.375 0.375 0.375 1
Y4 0.375 0.375 0.875 1
Fe1 0.500 0.500 0.500 1
Fe2 0.250 0.250 0.250 1
```



Which value of total energy does entry 2 give? -5.92 eV per atom



Among the records above, which one has the lowest total energy? ZrFeW